Record 1
GaFeIrPd | PBE | relaxed

abc: 4.325 4.325 4.325
angles: 60.00 60.00 60.00
Element x y z (fractional)
Ir 0.250 0.250 0.250
Ga 0.000 0.000 0.000
Pd 0.500 0.500 0.500
Fe 0.750 0.750 0.750

=====

Record 2
ScGa2FeIr4 | PBE | relaxed

abc: 4.225 4.225 6.494
angles: 90.00 90.00 90.00
Element x y z (fractional)
Ir 0.000 0.500 0.238
Ir 0.000 0.500 0.762
Ir 0.500 0.000 0.762
Ir 0.500 0.000 0.238
Ga 0.500 0.500 0.000
Ga 0.000 0.000 0.500
Fe 0.000 0.000 0.000
Sc 0.500 0.500 0.500

=====

Record 3
GaFe4SiIr2 | PBE | relaxed

abc: 4.149 4.149 5.867
angles: 90.00 90.00 90.00
Element x y z (fractional)
Fe 0.000 0.000 0.500
Fe 0.500 0.000 0.255
Fe 0.500 0.500 0.000
Fe 0.000 0.500 0.745
Ir 0.500 0.000 0.740
Ir 0.000 0.500 0.260
Si 0.500 0.500 0.500
Ga 0.000 0.000 0.000

=====

Record 4
GaFeIrW | PBE | relaxed

abc: 4.333 4.333 4.333
angles: 60.00 60.00 60.00
Element x y z (fractional)
W 0.250 0.250 0.250
Ga 0.000 0.000 0.000
Ir 0.500 0.500 0.500
Fe 0.750 0.750 0.750

=====

Record 5
GaFeIrW | PBE | relaxed

abc: 4.314 4.314 4.314
angles: 60.00 60.00 60.00
Element x y z (fractional)
W 0.500 0.500 0.500
Ir 0.250 0.250 0.250
Ga 0.000 0.000 0.000
Fe 0.750 0.750 0.750

=====

Record 6
YGaFeIr | PBE | relaxed

abc: 4.634 4.634 4.634
angles: 60.00 60.00 60.00
Element x y z (fractional)
Ir 0.500 0.500 0.500
Fe 0.750 0.750 0.750
Y 0.250 0.250 0.250
Ga 0.000 0.000 0.000

=====

no.,total magnetic moment (μB per formula unit),raw total energy (eV per formula unit)
1,2.92,-25.6
2,4.38,-60.2
3,9.61,-61.7
4,2.26,-32.7
5,1.92,-33.4
6,3.57,-27.1